# La4AuBr2 GGA-PBE optimized geometry
# Formation energy from raw total energies, eV per formula unit: -6.64
# D(E_F), states/eV/f.u.: 7.4
# Crystal system: orthorhombic
# Space-group type: Cmcm, No. 63
# Size of the total moment, μB per formula unit: 0.0
data_La4AuBr2
_symmetry_space_group_name_H-M 'P 1'
_symmetry_Int_Tables_number 1
_cell_length_a 7.355
_cell_length_b 7.355
_cell_length_c 15.642
_cell_angle_alpha 90.00
_cell_angle_beta 90.00
_cell_angle_gamma 148.88
loop_
_symmetry_equiv_pos_as_xyz
'x,y,z'
loop_
_atom_site_label
_atom_site_type_symbol
_atom_site_fract_x
_atom_site_fract_y
_atom_site_fract_z
La1 La 0.000 0.000 0.000
La2 La 0.000 0.000 0.500
La3 La 0.313 0.687 0.630
La4 La 0.313 0.687 0.870
La5 La 0.417 0.583 0.250
La6 La 0.583 0.417 0.750
La7 La 0.687 0.313 0.130
La8 La 0.687 0.313 0.370
Au1 Au 0.082 0.918 0.250
Au2 Au 0.918 0.082 0.750
Br1 Br 0.347 0.653 0.067
Br2 Br 0.347 0.653 0.433
Br3 Br 0.653 0.347 0.567
Br4 Br 0.653 0.347 0.933